VASP calculation (PBE) on crystalline ReRuI2N at its relaxed geometry.

a = 5.5498 Å, b = 5.5498 Å, c = 3.7418 Å
α = 90.00°, β = 90.00°, γ = 90.00°
With the nearest neighbours (Å) after each atom.
Positions (direct):
N  0.0000  0.0000  0.5000  2 Re 1.87
Re  0.0000  0.0000  0.0000  2 N 1.87
I  0.5000  0.0000  0.0000  2 Re 2.77
Ru  0.5000  0.5000  0.5000  8 I 3.35, 2 Ru 3.74
I  0.0000  0.5000  0.0000  2 Re 2.77

Calculated values
* total magnetization: 2.9 μB per formula unit
* DOS at the Fermi energy: 1.187 states/eV/atom
* space-group type: No. 123
* formation energy (no corrections): 1115 meV per atom
* energy relative to the lowest polymorph listed for this composition: 0 meV per atom
* mass density: 8.0 g cm⁻³